Material: NaTeIrI2
Method: DFT, PBE
State: optimized geometry

```
NaTeIrI2
1.0
5.784 0.000 0.000
0.000 5.784 0.000
0.000 0.000 5.051
Na Ir I Te
1 1 2 1
direct
0.500 0.500 0.500
0.000 0.000 0.000
0.000 0.500 0.000
0.500 0.000 0.000
0.000 0.000 0.500
```

Summary:
total energy	-16.8	eV/cell
raw formation energy	-0.070	eV/atom
space-group type	P4/mmm (123)